Record 1
# MgUGaTc

A geometry-optimized MgUGaTc structure (GGA-PBE, the Alexandria database).

Output
**Density of states at the Fermi level**: 6.7 states/eV/f.u.
**ΔE_f**: 0.162 eV/atom
**Crystal system**: cubic

Cell lengths 4.724, 4.724, 4.724 Å; angles 60.00, 60.00, 60.00 degrees
Atoms (fractional coordinates):
Mg 0.000 0.000 0.000
U 0.500 0.500 0.500
Ga 0.750 0.750 0.750
Tc 0.250 0.250 0.250


Record 2
# HgSN2F

A geometry-optimized HgSN2F structure (GGA-PBE, the Alexandria database).

Output
**Density of states at the Fermi level**: 2.2 states/eV/f.u.
**E above lowest polymorph**: 910.0 meV per atom
**Crystal system**: tetragonal

Cell lengths 4.400, 4.400, 4.657 Å; angles 90.00, 90.00, 90.00 degrees
Atoms (fractional coordinates):
Hg 0.000 0.000 0.000
S 0.500 0.500 0.500
N 0.000 0.500 0.000
N 0.500 0.000 0.000
F 0.000 0.000 0.500


Record 3
# BaFeCu2

A geometry-optimized BaFeCu2 structure (GGA-PBE, the Alexandria database).

Output
**Density of states at the Fermi level**: 5.1 states/eV/f.u.
**ΔE_f**: 0.532 eV/atom
**Crystal system**: orthorhombic

Cell lengths 5.201, 5.201, 5.201 Å; angles 131.04, 111.66, 88.53 degrees
Atoms (fractional coordinates):
Ba 0.000 0.000 0.000
Fe 0.500 0.500 0.000
Cu 0.333 0.833 0.500
Cu 0.667 0.167 0.500